(1)
# BeNbRh

A relaxed structure of BeNbRh (GGA-PBE, Alexandria).

Cell lengths 3.516, 7.641, 7.641 Å; angles 23.45, 90.00, 90.00 degrees
Element x y z (fractional)
Be1 0.000 0.000 0.000
Be2 0.500 0.084 0.084
Nb1 0.000 0.822 0.822
Nb2 0.500 0.442 0.442
Rh1 0.000 0.614 0.614
Rh2 0.500 0.240 0.240

Its energy relative to the elements is -0.3354 eV/atom. As for the relative energy among the computed polymorphs: 140.6 meV per atom. Its symmetry is Amm2, No. 38. The calculation puts the total DFT energy (no corrections) at -7.38 eV/atom.



(2)
# LiLa2H

A relaxed structure of LiLa2H (GGA-PBE, Alexandria).

Cell lengths 5.110, 5.110, 5.110 Å; angles 60.00, 60.00, 60.00 degrees
Element x y z (fractional)
Li1 0.000 0.000 0.000
La1 0.250 0.250 0.250
La2 0.750 0.750 0.750
H1 0.500 0.500 0.500

As for the relative energy among the computed polymorphs: 397.2 meV per atom. Its symmetry is Fm-3m, No. 225. The calculation puts the total DFT energy (no corrections) at -3.48 eV/atom.



(3)
# Ni2Pt3Au

A relaxed structure of Ni2Pt3Au (GGA-PBE, Alexandria).

Cell lengths 2.759, 2.759, 11.510 Å; angles 90.00, 90.00, 90.00 degrees
Element x y z (fractional)
Ni1 0.000 0.000 0.156
Ni2 0.000 0.000 0.844
Pt1 0.500 0.500 0.000
Pt2 0.500 0.500 0.308
Pt3 0.500 0.500 0.692
Au1 0.000 0.000 0.500

Its energy relative to the elements is -0.0424 eV/atom. Its symmetry is P4/mmm, No. 123. The calculation puts the total DFT energy (no corrections) at -5.54 eV/atom.



(4)
# SrTaV3

A relaxed structure of SrTaV3 (GGA-PBE, Alexandria).

Cell lengths 4.887, 4.887, 4.887 Å; angles 90.00, 90.00, 90.00 degrees
Element x y z (fractional)
Sr1 0.000 0.000 0.000
Ta1 0.500 0.500 0.500
V1 0.000 0.500 0.500
V2 0.500 0.000 0.500
V3 0.500 0.500 0.000

Its energy relative to the elements is 1.1883 eV/atom. As for the relative energy among the computed polymorphs: 0.0 meV per atom. Its symmetry is Pm-3m, No. 221. The calculation puts the total DFT energy (no corrections) at -6.99 eV/atom.



(5)
# Y2Sb2Te

A relaxed structure of Y2Sb2Te (GGA-PBE, Alexandria).

Cell lengths 8.526, 8.526, 8.526 Å; angles 150.86, 150.86, 41.68 degrees
Element x y z (fractional)
Y1 0.106 0.106 0.000
Y2 0.894 0.894 0.000
Sb1 0.250 0.750 0.500
Sb2 0.750 0.250 0.500
Te1 0.500 0.500 0.000

As for the relative energy among the computed polymorphs: 78.3 meV per atom. Its symmetry is I4/mmm, No. 139. The uncorrected formation energy is -835 meV per atom. The calculation puts the total DFT energy (no corrections) at -5.70 eV/atom.



(6)
# Ho2ZrPt9

A relaxed structure of Ho2ZrPt9 (GGA-PBE, Alexandria).

Cell lengths 4.089, 4.089, 12.274 Å; angles 90.00, 90.00, 90.00 degrees
Element x y z (fractional)
Ho1 0.000 0.000 0.167
Ho2 0.000 0.000 0.833
Zr1 0.000 0.000 0.500
Pt1 0.000 0.500 0.000
Pt2 0.000 0.500 0.339
Pt3 0.000 0.500 0.661
Pt4 0.500 0.000 0.000
Pt5 0.500 0.000 0.339
Pt6 0.500 0.000 0.661
Pt7 0.500 0.500 0.170
Pt8 0.500 0.500 0.500
Pt9 0.500 0.500 0.830

Its energy relative to the elements is -1.0676 eV/atom. Its symmetry is P4/mmm, No. 123. The calculation puts the total DFT energy (no corrections) at -7.07 eV/atom.



(7)
# Rb4Th3CdTe8

A relaxed structure of Rb4Th3CdTe8 (GGA-PBE, Alexandria).

Cell lengths 10.031, 10.031, 10.031 Å; angles 55.29, 55.29, 55.29 degrees
Element x y z (fractional)
Rb1 0.000 0.000 0.000
Rb2 0.000 0.500 0.500
Rb3 0.500 0.000 0.500
Rb4 0.500 0.500 0.000
Th1 0.000 0.000 0.500
Th2 0.000 0.500 0.000
Th3 0.500 0.000 0.000
Cd1 0.500 0.500 0.500
Te1 0.229 0.735 0.735
Te2 0.236 0.236 0.236
Te3 0.265 0.265 0.771
Te4 0.265 0.771 0.265
Te5 0.735 0.229 0.735
Te6 0.735 0.735 0.229
Te7 0.764 0.764 0.764
Te8 0.771 0.265 0.265

Its symmetry is R-3m, No. 166. The uncorrected formation energy is -1071 meV per atom. The calculation puts the total DFT energy (no corrections) at -4.33 eV/atom.



(8)
# La6Y2Er5

A relaxed structure of La6Y2Er5 (GGA-PBE, Alexandria).

Cell lengths 11.807, 20.809, 3.639 Å; angles 90.00, 90.00, 90.00 degrees
Element x y z (fractional)
La1 0.057 0.080 0.000
La2 0.080 0.366 0.000
La3 0.175 0.632 0.500
La4 0.325 0.132 0.500
La5 0.420 0.866 0.000
La6 0.443 0.580 0.000
La7 0.557 0.420 0.000
La8 0.580 0.134 0.000
La9 0.675 0.868 0.500
La10 0.825 0.368 0.500
La11 0.920 0.634 0.000
La12 0.943 0.920 0.000
Y1 0.163 0.789 0.000
Y2 0.337 0.289 0.000
Y3 0.663 0.711 0.000
Y4 0.837 0.211 0.000
Er1 0.000 0.500 0.500
Er2 0.096 0.226 0.500
Er3 0.202 0.942 0.500
Er4 0.298 0.442 0.500
Er5 0.404 0.726 0.500
Er6 0.500 0.000 0.500
Er7 0.596 0.274 0.500
Er8 0.702 0.558 0.500
Er9 0.798 0.058 0.500
Er10 0.904 0.774 0.500

Its energy relative to the elements is 0.1125 eV/atom. Its symmetry is Pbam, No. 55. The calculation puts the total DFT energy (no corrections) at -4.91 eV/atom.



(9)
# SmNiAs2Ru

A relaxed structure of SmNiAs2Ru (GGA-PBE, Alexandria).

Cell lengths 6.317, 6.317, 6.317 Å; angles 143.49, 143.49, 52.59 degrees
Element x y z (fractional)
Sm1 0.000 0.000 0.000
Ni1 0.750 0.250 0.500
As1 0.374 0.374 0.000
As2 0.626 0.626 0.000
Ru1 0.250 0.750 0.500

Its energy relative to the elements is -0.6795 eV/atom. Its symmetry is I-4m2, No. 119. The calculation puts the total DFT energy (no corrections) at -6.49 eV/atom.



(10)
# Pu3GeOs

A relaxed structure of Pu3GeOs (GGA-PBE, Alexandria).

Cell lengths 8.023, 8.023, 10.186 Å; angles 91.62, 91.62, 39.38 degrees
Element x y z (fractional)
Pu1 0.064 0.597 0.086
Pu2 0.210 0.729 0.579
Pu3 0.271 0.790 0.921
Pu4 0.277 0.379 0.772
Pu5 0.379 0.277 0.272
Pu6 0.403 0.936 0.414
Pu7 0.597 0.064 0.586
Pu8 0.621 0.723 0.728
Pu9 0.723 0.621 0.228
Pu10 0.729 0.210 0.079
Pu11 0.790 0.271 0.421
Pu12 0.936 0.403 0.914
Ge1 0.000 0.500 0.500
Ge2 0.254 0.746 0.250
Ge3 0.500 0.000 0.000
Ge4 0.746 0.254 0.750
Os1 0.123 0.153 0.654
Os2 0.153 0.123 0.154
Os3 0.847 0.877 0.846
Os4 0.877 0.847 0.346

Its energy relative to the elements is -0.1661 eV/atom. As for the relative energy among the computed polymorphs: 0.0 meV per atom. Its symmetry is C2/c, No. 15. The calculation puts the total DFT energy (no corrections) at -11.93 eV/atom.



(11)
# Cs6MoP4

A relaxed structure of Cs6MoP4 (GGA-PBE, Alexandria).

Cell lengths 10.857, 10.857, 8.783 Å; angles 90.00, 90.00, 120.00 degrees
Element x y z (fractional)
Cs1 0.072 0.536 0.000
Cs2 0.147 0.295 0.318
Cs3 0.147 0.853 0.318
Cs4 0.295 0.147 0.818
Cs5 0.464 0.536 0.000
Cs6 0.464 0.928 0.000
Cs7 0.536 0.072 0.500
Cs8 0.536 0.464 0.500
Cs9 0.705 0.853 0.318
Cs10 0.853 0.147 0.818
Cs11 0.853 0.705 0.818
Cs12 0.928 0.464 0.500
Mo1 0.333 0.667 0.603
Mo2 0.667 0.333 0.103
P1 0.215 0.431 0.687
P2 0.215 0.785 0.687
P3 0.333 0.667 0.338
P4 0.431 0.215 0.187
P5 0.569 0.785 0.687
P6 0.667 0.333 0.838
P7 0.785 0.215 0.187
P8 0.785 0.569 0.187

Its energy relative to the elements is -0.3854 eV/atom. Its symmetry is P6_3mc, No. 186. The calculation puts the total DFT energy (no corrections) at -3.80 eV/atom.



(12)
# HfTlMo2

A relaxed structure of HfTlMo2 (GGA-PBE, Alexandria).

Cell lengths 4.718, 4.718, 4.718 Å; angles 60.00, 60.00, 60.00 degrees
Element x y z (fractional)
Hf1 0.000 0.000 0.000
Tl1 0.500 0.500 0.500
Mo1 0.250 0.250 0.250
Mo2 0.750 0.750 0.750

Its energy relative to the elements is 0.5374 eV/atom. As for the relative energy among the computed polymorphs: 0.0 meV per atom. Its symmetry is Fm-3m, No. 225. The calculation puts the total DFT energy (no corrections) at -7.96 eV/atom.



(13)
# Hf2TlAgSe

A relaxed structure of Hf2TlAgSe (GGA-PBE, Alexandria).

Cell lengths 5.184, 5.184, 5.069 Å; angles 90.00, 90.00, 90.00 degrees
Element x y z (fractional)
Hf1 0.000 0.500 0.000
Hf2 0.500 0.000 0.000
Tl1 0.000 0.000 0.500
Ag1 0.500 0.500 0.000
Se1 0.500 0.500 0.500

Its symmetry is P4/mmm, No. 123. The uncorrected formation energy is 913 meV per atom. The calculation puts the total DFT energy (no corrections) at -4.81 eV/atom.



(14)
# Tb2Tm2SiIr4

A relaxed structure of Tb2Tm2SiIr4 (GGA-PBE, Alexandria).

Cell lengths 6.345, 6.345, 6.345 Å; angles 119.52, 119.52, 90.83 degrees
Element x y z (fractional)
Tb1 0.192 0.192 0.000
Tb2 0.808 0.808 0.000
Tm1 0.250 0.750 0.500
Tm2 0.750 0.250 0.500
Si1 0.500 0.500 0.000
Ir1 0.245 0.245 0.491
Ir2 0.245 0.755 0.000
Ir3 0.755 0.245 0.000
Ir4 0.755 0.755 0.509

Its symmetry is I4/mmm, No. 139. The uncorrected formation energy is -537 meV per atom. The calculation puts the total DFT energy (no corrections) at -7.10 eV/atom.



(15)
# SeSO3

A relaxed structure of SeSO3 (GGA-PBE, Alexandria).

Cell lengths 3.872, 3.872, 3.872 Å; angles 90.00, 90.00, 90.00 degrees
Element x y z (fractional)
Se1 0.000 0.000 0.000
S1 0.500 0.500 0.500
O1 0.000 0.000 0.500
O2 0.000 0.500 0.000
O3 0.500 0.000 0.000

Its symmetry is Pm-3m, No. 221. The uncorrected formation energy is 564 meV per atom. The calculation puts the total DFT energy (no corrections) at -3.93 eV/atom.